(a)
A geometry-optimized PaZnAg structure, computed with PBE-GGA.

Crystal system: hexagonal

Cell: 4.752 4.752 3.123 Å, 90.00 90.00 120.00°
Positions (direct):
Pa1 0.000 0.000 0.000
Zn1 0.667 0.333 0.500
Ag1 0.333 0.667 0.500

=====

(b)
A geometry-optimized PaZnAg structure, computed with PBE-GGA.

Crystal system: orthorhombic

Cell: 7.889 7.889 7.889 Å, 159.21 159.14 29.61°
Positions (direct):
Pa1 0.000 0.000 0.000
Zn1 0.823 0.323 0.500
Ag1 0.191 0.691 0.500

=====

(c)
A geometry-optimized PaZnAg structure, computed with PBE-GGA.

Crystal system: tetragonal

Cell: 6.660 6.660 6.660 Å, 153.47 153.47 37.87°
Positions (direct):
Pa1 0.000 0.000 0.000
Zn1 0.675 0.675 0.000
Ag1 0.308 0.308 0.000

=====

Calculated relative energies: (a) 0.0; (b) 35.0; (c) 3.2, given in kJ/mol of atoms

=====

(a)
A geometry-optimized Zr2PaAg structure, computed with PBE-GGA.

Crystal system: trigonal

Cell: 11.178 11.178 11.178 Å, 15.80 15.80 15.80°
Positions (direct):
Zr1 0.091 0.091 0.091
Zr2 0.909 0.909 0.909
Pa1 0.000 0.000 0.000
Ag1 0.500 0.500 0.500

=====

(b)
A geometry-optimized Zr2PaAg structure, computed with PBE-GGA.

Crystal system: tetragonal

Cell: 3.574 3.574 6.838 Å, 90.00 90.00 90.00°
Positions (direct):
Zr1 0.000 0.000 0.249
Zr2 0.000 0.000 0.751
Pa1 0.500 0.500 0.500
Ag1 0.500 0.500 0.000

=====

(c)
A geometry-optimized Zr2PaAg structure, computed with PBE-GGA.

Crystal system: cubic

Cell: 5.029 5.029 5.029 Å, 60.00 60.00 60.00°
Positions (direct):
Zr1 0.000 0.000 0.000
Zr2 0.250 0.250 0.250
Pa1 0.500 0.500 0.500
Ag1 0.750 0.750 0.750

=====

(d)
A geometry-optimized Zr2PaAg structure, computed with PBE-GGA.

Crystal system: tetragonal

Cell: 5.205 5.205 3.225 Å, 90.00 90.00 90.00°
Positions (direct):
Zr1 0.000 0.500 0.000
Zr2 0.500 0.000 0.000
Pa1 0.000 0.000 0.500
Ag1 0.500 0.500 0.500

=====

Calculated relative energies: (a) 24.3; (b) 0.9; (c) 9.6; (d) 0.0, given in kJ/mol of atoms

=====

(a)
A geometry-optimized Ag2Pb3 structure, computed with PBE-GGA.

Crystal system: trigonal

Cell: 4.948 4.948 6.490 Å, 90.00 90.00 120.00°
Positions (direct):
Ag1 0.333 0.667 0.323
Ag2 0.667 0.333 0.677
Pb1 0.000 0.000 0.500
Pb2 0.333 0.667 0.843
Pb3 0.667 0.333 0.157

=====

(b)
A geometry-optimized Ag2Pb3 structure, computed with PBE-GGA.

Crystal system: trigonal

Cell: 7.749 7.749 7.749 Å, 53.97 53.97 53.97°
Positions (direct):
Ag1 0.180 0.180 0.180
Ag2 0.320 0.320 0.320
Ag3 0.680 0.680 0.680
Ag4 0.820 0.820 0.820
Pb1 0.133 0.750 0.367
Pb2 0.250 0.633 0.867
Pb3 0.367 0.133 0.750
Pb4 0.633 0.867 0.250
Pb5 0.750 0.367 0.133
Pb6 0.867 0.250 0.633

=====

Calculated relative energies: (a) 0.0; (b) 6.4, given in kJ/mol of atoms

=====

(a)
A geometry-optimized AgPb4 structure, computed with PBE-GGA.

Crystal system: tetragonal

Cell: 6.930 6.930 6.162 Å, 90.00 90.00 90.00°
Positions (direct):
Ag1 0.250 0.250 0.000
Ag2 0.750 0.750 0.000
Pb1 0.078 0.578 0.261
Pb2 0.078 0.922 0.739
Pb3 0.422 0.578 0.739
Pb4 0.422 0.922 0.261
Pb5 0.578 0.078 0.739
Pb6 0.578 0.422 0.261
Pb7 0.922 0.078 0.261
Pb8 0.922 0.422 0.739

=====

(b)
A geometry-optimized AgPb4 structure, computed with PBE-GGA.

Crystal system: cubic

Cell: 5.531 5.531 5.531 Å, 90.00 90.00 90.00°
Positions (direct):
Ag1 0.000 0.000 0.000
Pb1 0.000 0.000 0.500
Pb2 0.000 0.500 0.000
Pb3 0.500 0.000 0.000
Pb4 0.500 0.500 0.500

=====

Calculated relative energies: (a) 0.0; (b) 28.5, given in kJ/mol of atoms

=====

(a)
A geometry-optimized Ag2Pd4Pb structure, computed with PBE-GGA.

Crystal system: trigonal

Cell: 7.830 7.830 7.830 Å, 33.76 33.76 33.76°
Positions (direct):
Ag1 0.246 0.246 0.246
Ag2 0.754 0.754 0.754
Pd1 0.126 0.126 0.126
Pd2 0.378 0.378 0.378
Pd3 0.622 0.622 0.622
Pd4 0.874 0.874 0.874
Pb1 0.000 0.000 0.000

=====

(b)
A geometry-optimized Ag2Pd4Pb structure, computed with PBE-GGA.

Crystal system: tetragonal

Cell: 5.573 5.573 5.573 Å, 106.20 106.20 116.23°
Positions (direct):
Ag1 0.000 0.500 0.500
Ag2 0.500 0.000 0.500
Pd1 0.000 0.000 0.500
Pd2 0.000 0.500 0.000
Pd3 0.500 0.000 0.000
Pd4 0.500 0.500 0.500
Pb1 0.000 0.000 0.000

=====

Calculated relative energies: (a) 5.7; (b) 0.0, given in kJ/mol of atoms

=====

(a)
A geometry-optimized Ag3Pd6Pb structure, computed with PBE-GGA.

Crystal system: monoclinic

Cell: 7.110 6.994 9.353 Å, 90.00 129.78 90.00°
Positions (direct):
Ag1 0.000 0.000 0.000
Ag2 0.000 0.500 0.500
Ag3 0.173 0.125 0.634
Ag4 0.173 0.375 0.134
Ag5 0.827 0.625 0.866
Ag6 0.827 0.875 0.366
Pd1 0.088 0.703 0.259
Pd2 0.088 0.797 0.759
Pd3 0.355 0.744 0.133
Pd4 0.355 0.756 0.633
Pd5 0.375 0.131 0.009
Pd6 0.375 0.369 0.509
Pd7 0.625 0.631 0.491
Pd8 0.625 0.869 0.991
Pd9 0.645 0.244 0.367
Pd10 0.645 0.256 0.867
Pd11 0.912 0.203 0.241
Pd12 0.912 0.297 0.741
Pb1 0.500 0.000 0.500
Pb2 0.500 0.500 0.000

=====

(b)
A geometry-optimized Ag3Pd6Pb structure, computed with PBE-GGA.

Crystal system: monoclinic

Cell: 8.869 4.159 9.224 Å, 90.00 93.62 90.00°
Positions (direct):
Ag1 0.054 0.250 0.401
Ag2 0.157 0.750 0.200
Ag3 0.249 0.250 0.003
Ag4 0.751 0.750 0.997
Ag5 0.843 0.250 0.800
Ag6 0.946 0.750 0.599
Pd1 0.046 0.750 0.901
Pd2 0.137 0.250 0.706
Pd3 0.252 0.750 0.503
Pd4 0.338 0.750 0.811
Pd5 0.360 0.250 0.307
Pd6 0.453 0.750 0.094
Pd7 0.547 0.250 0.906
Pd8 0.640 0.750 0.693
Pd9 0.662 0.250 0.189
Pd10 0.748 0.250 0.497
Pd11 0.863 0.750 0.294
Pd12 0.954 0.250 0.099
Pb1 0.431 0.250 0.626
Pb2 0.569 0.750 0.374

=====

Calculated relative energies: (a) 9.1; (b) 0.0, given in kJ/mol of atoms